Compound: MnI2O2
Source: the Alexandria database
Functional: PBE with a Hubbard U
Structure: optimized geometry

Cell: 5.352 5.352 3.455 Å, 90.00 90.00 90.00°
Fractional positions:
I 0.000 0.500 0.000
I 0.500 0.000 0.000
Mn 0.000 0.000 0.000
O 0.500 0.500 0.500
O 0.000 0.000 0.500

- Space-group type: P4/mmm
- Crystal system: tetragonal
- E above lowest polymorph: 809 meV/atom
- Density: 5.718 g/cm³
- Raw total energy: -3.3602 eV/atom